Record 1
# Tb2BeGe3

Tb2BeGe3 after structural relaxation (PBE-GGA, Alexandria via LeMat-Bulk).

Calculated values
**Calculated total energy**: -5.07 eV per atom
**Energy relative to the elements**: -601 meV per atom
**Space-group type**: Pmm2 (25)

a = 4.063 Å, b = 4.069 Å, c = 7.068 Å
α = 90.00°, β = 90.00°, γ = 90.00°
Atoms (fractional coordinates):
Tb (0.000, 0.000, 0.000)
Tb (0.000, 0.500, 0.498)
Be (0.500, 0.000, 0.322)
Ge (0.500, 0.000, 0.638)
Ge (0.500, 0.500, 0.190)
Ge (0.500, 0.500, 0.838)

Record 2
# EuTlZnGa

EuTlZnGa after structural relaxation (PBE-GGA, Alexandria via LeMat-Bulk).

Calculated values
**Calculated total energy**: -4.44 eV per atom
**Energy relative to the elements**: -209 meV per atom
**Space-group type**: F-43m (216)

a = 7.245 Å, b = 7.245 Å, c = 7.245 Å
α = 90.00°, β = 90.00°, γ = 90.00°
Atoms (fractional coordinates):
Eu (0.000, 0.000, 0.000)
Eu (0.000, 0.500, 0.500)
Eu (0.500, 0.000, 0.500)
Eu (0.500, 0.500, 0.000)
Tl (0.000, 0.000, 0.500)
Tl (0.000, 0.500, 0.000)
Tl (0.500, 0.000, 0.000)
Tl (0.500, 0.500, 0.500)
Zn (0.250, 0.250, 0.750)
Zn (0.250, 0.750, 0.250)
Zn (0.750, 0.250, 0.250)
Zn (0.750, 0.750, 0.750)
Ga (0.250, 0.250, 0.250)
Ga (0.250, 0.750, 0.750)
Ga (0.750, 0.250, 0.750)
Ga (0.750, 0.750, 0.250)